Computed, not measured: La6HoMg2 after structural relaxation at the PBE level of DFT.

As for the formation energy: 0.0351 eV per atom. As for the total magnetization: 0.000 μB per atom. The energy comes out at -4.113 eV/atom. The calculation puts the volume at 601.76 Å³ per cell.

It has space group C222 (No. 21), with a = 6.2851 Å, b = 10.7145 Å, c = 8.9360 Å, α = 90.00°, β = 90.00° and γ = 90.00°. The asymmetric unit holds La at (0.0000, 0.1766, 0.0000), La at (0.2413, 0.4160, 0.6638), Ho at (0.0000, 0.5000, 0.0000) and Mg at (0.2500, 0.2500, 0.3295).



Computed, not measured: LiScU2S5 after structural relaxation at the PBE level of DFT.

The calculation puts the formation energy (no corrections) at -1.154 eV/atom. As for the total magnetization: 0.661 μB per atom. The energy comes out at -6.872 eV/atom. The calculation puts the volume at 207.12 Å³ per cell.

It has space group P4/mmm (No. 123), with a = 4.6862 Å, b = 4.6862 Å, c = 9.4316 Å, α = 90.00°, β = 90.00° and γ = 90.00°. The asymmetric unit holds Li at (0.0000, 0.0000, 0.0000), Sc at (0.0000, 0.0000, 0.5000), U at (0.5000, 0.5000, 0.2872), S at (0.0000, 0.0000, 0.2346), S at (0.0000, 0.5000, 0.5000) and S at (0.5000, 0.5000, 0.0000).



Computed, not measured: La2Ag after structural relaxation at the PBE level of DFT.

As for the formation energy: -0.1334 eV per atom. As for the total magnetization: 0.000 μB per atom. The energy comes out at -4.369 eV/atom. The calculation puts the volume at 3027.60 Å³ per cell.

It has space group Fd-3m (No. 227, origin choice 2), with a = 14.4666 Å, b = 14.4666 Å, c = 14.4666 Å, α = 90.00°, β = 90.00° and γ = 90.00°. The asymmetric unit holds La at (0.0000, 0.0000, 0.0000), La at (0.0637, 0.3750, 0.8750) and Ag at (0.0303, 0.0303, 0.2197).